SrLi2NbO4 | PBE | relaxed

Cell: 5.573 5.573 6.758 Å, 90.00 90.00 90.00°
Space group I-42m (No. 121)
One atom of each set of equivalent atoms:
1 Sr 0.000 0.000 0.000 x2
2 Li 0.000 0.500 0.250 x4
3 Nb 0.000 0.000 0.500 x2
4 O 0.214 0.214 0.648 x8

Summary:
Formation energy (no corrections) (eV/atom): -2.30
Raw total energy (eV/atom): -6.726
Total magnetization (μB per cell): 2.0

Sr3Li6Nb2O11 | PBE | relaxed

Cell: 10.704 8.449 5.879 Å, 90.00 90.00 90.00°
Space group Pmma (No. 51)
One atom of each set of equivalent atoms:
1 Sr 0.000 0.237 0.000 x4
2 Sr 0.250 0.500 0.118 x2
3 Li 0.000 0.145 0.500 x4
4 Li 0.250 0.185 0.280 x4
5 Li 0.250 0.354 0.649 x4
6 Nb 0.000 0.500 0.500 x2
7 Nb 0.250 0.000 0.764 x2
8 O 0.060 0.000 0.752 x4
9 O 0.108 0.500 0.782 x4
10 O 0.111 0.326 0.366 x8
11 O 0.250 0.000 0.444 x2
12 O 0.250 0.199 0.931 x4

Summary:
Formation energy (no corrections) (eV/atom): -2.49
Raw total energy (eV/atom): -6.639
Total magnetization (μB per cell): 0.0

Sr2LiNb3O10 | PBE | relaxed

Cell: 5.631 5.631 14.413 Å, 90.00 101.26 90.00°
Space group C2 (No. 5)
One atom of each set of equivalent atoms:
1 Sr 0.081 0.000 0.160 x4
2 Li 0.000 0.245 0.500 x2
3 Nb 0.000 0.498 0.000 x2
4 Nb 0.157 0.496 0.313 x4
5 O 0.070 0.490 0.140 x4
6 O 0.107 0.245 0.715 x4
7 O 0.108 0.745 0.718 x4
8 O 0.220 0.495 0.440 x4
9 O 0.242 0.229 0.000 x4

Summary:
Formation energy (no corrections) (eV/atom): -2.71
Raw total energy (eV/atom): -8.030
Total magnetization (μB per cell): 0.0

SrLi3Nb4O12 | PBE | relaxed

Cell: 7.753 7.753 7.753 Å, 90.00 90.00 90.00°
Space group Im-3 (No. 204)
One atom of each set of equivalent atoms:
1 Sr 0.000 0.000 0.000 x2
2 Li 0.000 0.000 0.500 x6
3 Nb 0.250 0.250 0.250 x8
4 O 0.000 0.189 0.296 x24

Summary:
Formation energy (no corrections) (eV/atom): -2.55
Raw total energy (eV/atom): -7.910
Total magnetization (μB per cell): 0.0

The highest total magnetization belongs to which entry?
SrLi2NbO4

Number 2 is which compound?
Sr3Li6Nb2O11